The following is a DFT calculation (GGA-PBEsol) of a geometry-optimized ZrInAg2 structure.

```
ZrInAg2
1.0
-3.0075 -2.9461 -0.1287
2.9855 -3.0322 -0.3541
0.1550 -0.3441 4.2533
In Zr Ag
1 1 2
Direct
0.5000 0.5000 0.5000
0.5000 0.0000 0.0000
0.0000 0.5000 0.0000
0.0000 0.0000 0.5000
```

Values from the calculation:
space group	P4/mmm, No. 123
VASP energy	-19.04	eV for the cell shown
energy of formation	-8.2	kJ per mole of atoms